## Li2RePb (PBE)

Data for a relaxed structure of Li2RePb.

Computed properties:
energy relative to the elements	0.4579	eV per atom

Unit cell a=3.1756 b=4.5712 c=4.7595 alpha=90.00 beta=90.00 gamma=90.00
Closest atoms and distances in Å follow each position.
Space group Pmmm (No. 47)
One atom of each set of equivalent atoms:
Li  0.0000  0.0000  0.0000 (multiplicity 1)  4 Li 2.78, 4 Pb 2.86
Li  0.5000  0.5000  0.0000 (multiplicity 1)  4 Li 2.78, 4 Re 2.86
Re  0.0000  0.5000  0.5000 (multiplicity 1)  4 Pb 2.78, 4 Li 2.86
Pb  0.5000  0.0000  0.5000 (multiplicity 1)  4 Re 2.78, 4 Li 2.86

## HfZrBi2 (PBE)

Data for a relaxed structure of HfZrBi2.

Computed properties:
E above lowest polymorph	1.4	meV per atom
energy relative to the elements	-0.1037	eV per atom

Unit cell a=7.3005 b=7.3005 c=7.3005 alpha=90.00 beta=90.00 gamma=90.00
Closest atoms and distances in Å follow each position.
Space group Fm-3m (No. 225)
One atom of each set of equivalent atoms:
Hf  0.0000  0.0000  0.0000 (multiplicity 4)  8 Bi 3.16
Zr  0.0000  0.0000  0.5000 (multiplicity 4)  8 Bi 3.16
Bi  0.2500  0.2500  0.2500 (multiplicity 8)  4 Zr 3.16, 4 Hf 3.16

## BeCoRe2 (PBE)

Data for a relaxed structure of BeCoRe2.

Computed properties:
energy relative to the elements	0.1794	eV per atom

Unit cell a=2.6811 b=2.6811 c=24.5962 alpha=90.00 beta=90.00 gamma=120.00
Closest atoms and distances in Å follow each position.
Space group R-3m (No. 166, hexagonal axes)
One atom of each set of equivalent atoms:
Be  0.0000  0.0000  0.0000 (multiplicity 3)  6 Re 2.55, 6 Be 2.68
Co  0.0000  0.0000  0.5000 (multiplicity 3)  6 Re 2.58, 6 Co 2.68
Re  0.0000  0.0000  0.2508 (multiplicity 6)  3 Be 2.55, 3 Co 2.58, 6 Re 2.68

## CePmYSe3 (PBE)

Data for a relaxed structure of CePmYSe3.

Computed properties:
E_form (uncorrected)	-1.69	eV per atom

Unit cell a=7.3117 b=4.0210 c=10.8185 alpha=90.00 beta=102.69 gamma=90.00
Closest atoms and distances in Å follow each position.
Space group P2_1/m (No. 11)
One atom of each set of equivalent atoms:
Ce  0.1203  0.2500  0.1283 (multiplicity 2)  5 Se 2.92-3.02
Pm  0.3437  0.2500  0.7980 (multiplicity 2)  7 Se 2.99-3.09
Y  0.2357  0.7500  0.4429 (multiplicity 2)  6 Se 2.87-2.95
Se  0.0559  0.7500  0.6539 (multiplicity 2)  3 Y 2.87-2.95, 1 Ce 2.92, 2 Pm 3.08
Se  0.2931  0.7500  0.9927 (multiplicity 2)  3 Ce 2.93-3.02, 3 Pm 2.99-3.09
Se  0.4552  0.2500  0.3399 (multiplicity 2)  3 Y 2.88-2.94, 1 Ce 2.96, 2 Pm 3.07

## Cd2InW (PBE)

Data for a relaxed structure of Cd2InW.

Computed properties:
energy relative to the elements	0.5193	eV per atom

Unit cell a=5.9657 b=10.4274 c=2.9640 alpha=90.00 beta=119.77 gamma=90.00
Closest atoms and distances in Å follow each position.
Space group C2/m (No. 12)
One atom of each set of equivalent atoms:
Cd  0.2500  0.2500  0.0000 (multiplicity 4)  6 Cd 2.96-2.98, 2 In 3.00, 2 W 3.00
In  0.0000  0.0000  0.0000 (multiplicity 2)  2 In 2.96, 4 W 2.98, 4 Cd 3.00
W  0.0000  0.5000  0.0000 (multiplicity 2)  2 W 2.96, 4 In 2.98, 4 Cd 3.00

## MgTeC2Cl (PBE)

Data for a relaxed structure of MgTeC2Cl.

Computed properties:
E_form (uncorrected)	2.10	eV per atom

Unit cell a=4.3254 b=4.3254 c=4.6355 alpha=90.00 beta=90.00 gamma=90.00
Closest atoms and distances in Å follow each position.
Space group P4/mmm (No. 123)
One atom of each set of equivalent atoms:
Mg  0.0000  0.0000  0.0000 (multiplicity 1)  2 Cl 2.32
Te  0.5000  0.5000  0.0000 (multiplicity 1)  4 Mg 3.06, 8 C 3.17
C  0.0000  0.5000  0.5000 (multiplicity 2)  2 Cl 2.16
Cl  0.0000  0.0000  0.5000 (multiplicity 1)  4 C 2.16, 2 Mg 2.32

## Na2InBiPb (PBE)

Data for a relaxed structure of Na2InBiPb.

Computed properties:
energy relative to the elements	0.3267	eV per atom

Unit cell a=5.7705 b=5.7705 c=5.6822 alpha=90.00 beta=90.00 gamma=90.00
Closest atoms and distances in Å follow each position.
Space group P4/mmm (No. 123)
One atom of each set of equivalent atoms:
Na  0.0000  0.5000  0.0000 (multiplicity 2)  2 Pb 2.89
In  0.0000  0.0000  0.5000 (multiplicity 1)  2 Pb 2.84
Bi  0.5000  0.5000  0.5000 (multiplicity 1)  8 Na 4.05, 4 In 4.08
Pb  0.0000  0.0000  0.0000 (multiplicity 1)  2 In 2.84, 4 Na 2.89

## Rb2MgAs (PBE)

Data for a relaxed structure of Rb2MgAs.

Computed properties:
E above lowest polymorph	0.0	meV per atom
energy relative to the elements	0.1091	eV per atom

Unit cell a=8.4413 b=8.4413 c=8.4413 alpha=90.00 beta=90.00 gamma=90.00
Closest atoms and distances in Å follow each position.
Space group Fm-3m (No. 225)
One atom of each set of equivalent atoms:
Rb  0.2500  0.2500  0.2500 (multiplicity 8)  4 As 3.66, 4 Mg 3.66
Mg  0.0000  0.0000  0.0000 (multiplicity 4)  8 Rb 3.66
As  0.0000  0.0000  0.5000 (multiplicity 4)  8 Rb 3.66

## Tb2Pr2Ir3 (PBE)

Data for a relaxed structure of Tb2Pr2Ir3.

Computed properties:
E above lowest polymorph	0.0	meV per atom
energy relative to the elements	-0.6427	eV per atom

Unit cell a=8.7844 b=8.7844 c=8.7844 alpha=90.00 beta=90.00 gamma=90.00
Closest atoms and distances in Å follow each position.
Space group I2_13 (No. 199)
One atom of each set of equivalent atoms:
Tb  0.0613  0.4387  0.5613 (multiplicity 8)  6 Ir 2.89-3.09
Pr  0.1844  0.1844  0.1844 (multiplicity 8)  3 Ir 2.85
Ir  0.0000  0.2500  0.8524 (multiplicity 12)  2 Pr 2.85, 4 Tb 2.89-3.09

## LiPdRhS2 (PBE)

Data for a relaxed structure of LiPdRhS2.

Computed properties:
E_form (uncorrected)	0.57	eV per atom

Unit cell a=4.3056 b=4.3056 c=4.0780 alpha=90.00 beta=90.00 gamma=90.00
Closest atoms and distances in Å follow each position.
Space group P4/mmm (No. 123)
One atom of each set of equivalent atoms:
Li  0.0000  0.0000  0.0000 (multiplicity 1)  2 Rh 2.04, 4 S 2.15
Pd  0.5000  0.5000  0.5000 (multiplicity 1)  8 S 2.97, 4 Rh 3.04
Rh  0.0000  0.0000  0.5000 (multiplicity 1)  2 Li 2.04
S  0.0000  0.5000  0.0000 (multiplicity 2)  2 Li 2.15

## GdPa2Mo (PBE)

Data for a relaxed structure of GdPa2Mo.

Computed properties:
E above lowest polymorph	200.8	meV per atom
energy relative to the elements	0.4041	eV per atom

Unit cell a=3.2178 b=3.2178 c=32.5109 alpha=90.00 beta=90.00 gamma=120.00
Closest atoms and distances in Å follow each position.
Space group R-3m (No. 166, hexagonal axes)
One atom of each set of equivalent atoms:
Gd  0.0000  0.0000  0.0000 (multiplicity 3)  2 Pa 3.15, 6 Gd 3.22
Pa  0.0000  0.0000  0.0969 (multiplicity 6)  3 Mo 2.93, 1 Gd 3.15, 6 Pa 3.22
Mo  0.0000  0.0000  0.5000 (multiplicity 3)  6 Pa 2.93, 6 Mo 3.22

## CeHgCl6 (PBE)

Data for a relaxed structure of CeHgCl6.

Computed properties:
E above lowest polymorph	0.0	meV per atom
E_form (uncorrected)	-1.38	eV per atom

Unit cell a=6.6924 b=6.6924 c=18.4408 alpha=90.00 beta=90.00 gamma=120.00
Closest atoms and distances in Å follow each position.
Space group R-3 (No. 148, hexagonal axes)
One atom of each set of equivalent atoms:
Ce  0.0000  0.0000  0.0000 (multiplicity 3)  6 Cl 2.65
Hg  0.0000  0.0000  0.5000 (multiplicity 3)  6 Cl 2.71
Cl  0.0055  0.6576  0.7493 (multiplicity 18)  1 Ce 2.65, 1 Hg 2.71